Record 1
Below is a relaxed ZrVGa2 crystal, with properties calculated at the PBE level.

Cell and atoms, written as POSCAR:
```
ZrVGa2
1.0
-3.2871 -1.3396 1.0852
0.5680 -5.2545 -4.7659
4.6825 -5.8305 6.9864
Zr V Ga
4 4 8
direct
0.7500 0.7287 0.6948
0.2500 0.7713 0.1948
0.2500 0.2713 0.3052
0.7500 0.2287 0.8052
0.7500 0.9546 0.4132
0.2500 0.5454 0.9132
0.2500 0.0454 0.5868
0.7500 0.4546 0.0867
0.7500 0.2880 0.5188
0.2500 0.2120 0.0188
0.2500 0.7120 0.4812
0.7500 0.7880 0.9812
0.7500 0.5707 0.3381
0.2500 0.9293 0.8381
0.2500 0.4293 0.6619
0.7500 0.0707 0.1619
```

Values from the calculation:
- M_tot (μB/atom) = 0.000
- ρ (g/cm3) = 6.920
- formation enthalpy at 0 K (eV per atom) = -0.3756
- excess energy over the best structure of this formula in the dataset (eV per formula unit) = 0.00

=====

Record 2
Below is a relaxed AlCdIr2 crystal, with properties calculated at the PBE level.

Cell and atoms, written as POSCAR:
```
AlCdIr2
1.0
2.9336 0.0000 0.0000
0.0000 4.8818 0.0000
0.0000 0.0000 4.4431
Ir Al Cd
2 1 1
direct
0.0000 0.0000 0.0000
0.5000 0.5000 0.0000
0.5000 0.0000 0.5000
0.0000 0.5000 0.5000
```

Values from the calculation:
- M_tot (μB/atom) = 0.000
- ρ (g/cm3) = 13.670
- formation enthalpy at 0 K (eV per atom) = 0.0061

=====

Record 3
Below is a relaxed Y2InF crystal, with properties calculated at the PBE level.

Cell and atoms, written as POSCAR:
```
Y2InF
1.0
-3.0169 0.0231 1.6062
-0.5404 -2.0879 2.6515
2.1470 6.2721 7.5792
Y F In
2 1 1
direct
0.1066 0.1066 0.6801
0.8934 0.8934 0.3199
0.5000 0.5000 0.5000
0.0000 0.0000 0.0000
```

Values from the calculation:
- M_tot (μB/atom) = 0.000
- ρ (g/cm3) = 5.180
- excess energy over the best structure of this formula in the dataset (eV per formula unit) = 1.59

=====

Number 1: calculated volume 16.90 Å³/atom. Number 2: calculated volume 15.91 Å³/atom. Number 3: calculated volume 24.97 Å³/atom.